No. 1
A geometry-optimized BaFe2Ag structure. Source: the Alexandria database, functional PBE-GGA.

Properties
- energy (eV per atom) = -4.432
- ΔE_f (eV per formula unit) = 3.97
- M_tot (μB per formula unit) = 5.4
- crystal system = tetragonal
- space-group type = No. 123

Lattice parameters (Å, degrees): 5.045 5.045 3.237 90.00 90.00 90.00
Atoms (fractional coordinates):
1 Ba 0.000 0.000 0.000
2 Fe 0.000 0.500 0.500
3 Fe 0.500 0.000 0.500
4 Ag 0.500 0.500 0.000

No. 2
A geometry-optimized BaFe2Ag structure. Source: the Alexandria database, functional PBE-GGA.

Properties
- energy (eV per atom) = -4.959
- ΔE_f (eV per formula unit) = 1.86
- M_tot (μB per formula unit) = 5.3
- crystal system = tetragonal
- space-group type = No. 99

Lattice parameters (Å, degrees): 3.261 3.261 7.812 90.00 90.00 90.00
Atoms (fractional coordinates):
1 Ba 0.000 0.000 0.000
2 Fe 0.000 0.000 0.445
3 Fe 0.500 0.500 0.320
4 Ag 0.500 0.500 0.664

No. 3
A geometry-optimized BaFe2Ag structure. Source: the Alexandria database, functional PBE-GGA.

Properties
- energy (eV per atom) = -4.496
- ΔE_f (eV per formula unit) = 3.72
- M_tot (μB per formula unit) = 5.5
- crystal system = orthorhombic
- space-group type = No. 47

Lattice parameters (Å, degrees): 3.365 5.023 5.088 90.00 90.00 90.00
Atoms (fractional coordinates):
1 Ba 0.000 0.000 0.000
2 Fe 0.000 0.500 0.500
3 Fe 0.500 0.500 0.000
4 Ag 0.500 0.000 0.500

No. 4
A geometry-optimized BaFe2Ag structure. Source: the Alexandria database, functional PBE-GGA.

Properties
- energy (eV per atom) = -4.952
- ΔE_f (eV per formula unit) = 1.89
- M_tot (μB per formula unit) = 5.1
- crystal system = monoclinic
- space-group type = No. 12

Lattice parameters (Å, degrees): 4.653 4.653 6.058 110.01 110.01 53.30
Atoms (fractional coordinates):
1 Ba 0.000 0.000 0.000
2 Fe 0.206 0.206 0.571
3 Fe 0.794 0.794 0.429
4 Ag 0.500 0.500 0.500

No. 5
A geometry-optimized BaFe2Ag structure. Source: the Alexandria database, functional PBE-GGA.

Properties
- energy (eV per atom) = -4.799
- ΔE_f (eV per formula unit) = 2.51
- M_tot (μB per formula unit) = 5.1
- crystal system = tetragonal
- space-group type = No. 141

Lattice parameters (Å, degrees): 9.997 9.997 9.997 152.66 152.66 39.05
Atoms (fractional coordinates):
1 Ba 0.375 0.625 0.750
2 Ba 0.625 0.375 0.250
3 Fe 0.000 0.000 0.000
4 Fe 0.000 0.000 0.500
5 Fe 0.000 0.500 0.000
6 Fe 0.500 0.000 0.500
7 Ag 0.125 0.875 0.250
8 Ag 0.875 0.125 0.750

No. 6
A geometry-optimized BaFe2Ag structure. Source: the Alexandria database, functional PBE-GGA.

Properties
- energy (eV per atom) = -4.560
- ΔE_f (eV per formula unit) = 3.46
- M_tot (μB per formula unit) = 5.8
- crystal system = cubic
- space-group type = No. 216

Lattice parameters (Å, degrees): 5.015 5.015 5.015 60.00 60.00 60.00
Atoms (fractional coordinates):
1 Ba 0.000 0.000 0.000
2 Fe 0.500 0.500 0.500
3 Fe 0.750 0.750 0.750
4 Ag 0.250 0.250 0.250

Q: Which of these has the lowest ΔE_f?
A: number 2